Entry 1:
The following is a DFT calculation (PBE) of KMo2Se after structural relaxation.

Output
Density   5.635 g/cm3
Uncorrected formation energy   0.293 eV per atom
ΔE to the lowest computed polymorph   0.000 eV per atom
Energy   -6.268 eV per atom

a b c (Å): 3.1723 3.3346 8.7354
angles (deg): 81.23 90.00 90.00
With the nearest neighbours (Å) after each atom.
Element x y z (fractional)
K: 0.5000 0.7061 0.7306  4 K 3.17-3.33, 4 Se 3.26-3.28
Mo: 0.0000 0.0426 0.0806  4 Mo 2.54-2.72
Mo: 0.5000 0.4422 0.2271  4 Mo 2.54-2.72, 2 Se 2.58
Se: 0.0000 0.3090 0.4617  2 Mo 2.58

Entry 2:
The following is a DFT calculation (PBE) of K2Mo3Se18 after structural relaxation.

Output
Density   4.431 g/cm3
Uncorrected formation energy   -0.425 eV per atom
Energy   -4.660 eV per atom

a b c (Å): 10.7044 10.8357 12.9154
angles (deg): 90.00 90.00 116.59
With the nearest neighbours (Å) after each atom.
Element x y z (fractional)
K: 0.2683 0.3396 0.6662  4 Se 3.44-3.57
K: 0.7317 0.6604 0.1662  4 Se 3.44-3.57
K: 0.4170 0.9946 0.1808  5 Se 3.38-3.51
K: 0.5830 0.0054 0.6808  5 Se 3.38-3.51
Mo: 0.0857 0.4878 0.2320  7 Se 2.50-2.69, 2 Mo 2.78-2.80
Mo: 0.9143 0.5122 0.7320  7 Se 2.50-2.69, 2 Mo 2.78-2.80
Mo: 0.2379 0.3370 0.2389  7 Se 2.54-2.68, 2 Mo 2.78-2.80
Mo: 0.7621 0.6630 0.7389  7 Se 2.54-2.68, 2 Mo 2.78-2.80
Mo: 0.9460 0.1999 0.2493  7 Se 2.54-2.68, 2 Mo 2.80
Mo: 0.0540 0.8001 0.7493  7 Se 2.54-2.68, 2 Mo 2.80
Se: 0.0981 0.3600 0.3899  3 Mo 2.50-2.54
Se: 0.9019 0.6400 0.8899  3 Mo 2.50-2.54
Se: 0.0858 0.7201 0.1588  1 Se 2.36
Se: 0.9142 0.2799 0.6588  1 Se 2.36
Se: 0.1021 0.6999 0.3397  2 Se 2.36-2.42, 1 Mo 2.62
Se: 0.8979 0.3001 0.8397  2 Se 2.36-2.42, 1 Mo 2.62
Se: 0.1136 0.3208 0.9144  1 Se 2.42
Se: 0.8864 0.6792 0.4144  1 Se 2.42
Se: 0.9069 0.3359 0.0999  1 Se 2.35, 2 Mo 2.54-2.57
Se: 0.0931 0.6641 0.5999  1 Se 2.35, 2 Mo 2.54-2.57
Se: 0.8138 0.3579 0.2601  1 Se 2.35, 1 Mo 2.63
Se: 0.1862 0.6421 0.7601  1 Se 2.35, 1 Mo 2.63
Se: 0.1022 0.0721 0.2795  1 Se 2.38, 2 Mo 2.63-2.64
Se: 0.8978 0.9279 0.7795  1 Se 2.38, 2 Mo 2.63-2.64
Se: 0.0898 0.1497 0.1088  1 Se 2.38, 2 Mo 2.56-2.59
Se: 0.9102 0.8503 0.6088  1 Se 2.38, 2 Mo 2.56-2.59
Se: 0.2582 0.5049 0.0894  1 Se 2.42, 2 Mo 2.56-2.59
Se: 0.7418 0.4951 0.5894  1 Se 2.42, 2 Mo 2.56-2.59
Se: 0.3617 0.6081 0.2530  1 Se 2.42, 2 Mo 2.63-2.66
Se: 0.6383 0.3919 0.7530  1 Se 2.42, 2 Mo 2.63-2.66
Se: 0.8311 0.1044 0.4310  1 Se 2.40, 1 Mo 2.64
Se: 0.1689 0.8956 0.9310  1 Se 2.40, 1 Mo 2.64
Se: 0.5933 0.9282 0.4256  2 Se 2.40-2.41
Se: 0.4067 0.0718 0.9256  2 Se 2.40-2.41
Se: 0.4309 0.2991 0.9653  2 Se 2.41-2.43
Se: 0.5691 0.7009 0.4653  2 Se 2.41-2.43
Se: 0.4609 0.3282 0.1518  1 Se 2.43, 1 Mo 2.68
Se: 0.5391 0.6718 0.6518  1 Se 2.43, 1 Mo 2.68
Se: 0.7217 0.9724 0.1881  1 Se 2.43, 1 Mo 2.68
Se: 0.2783 0.0276 0.6881  1 Se 2.43, 1 Mo 2.68
Se: 0.7641 0.9918 0.0028  2 Se 2.36-2.43
Se: 0.2359 0.0082 0.5028  2 Se 2.36-2.43
Se: 0.4450 0.1598 0.4196  2 Se 2.36-2.40
Se: 0.5550 0.8402 0.9196  2 Se 2.36-2.40
Se: 0.4325 0.3707 0.3804  1 Se 2.40, 1 Mo 2.67
Se: 0.5675 0.6293 0.8804  1 Se 2.40, 1 Mo 2.67

Entry 3:
The following is a DFT calculation (PBE) of KMoSe2 after structural relaxation.

Output
Density   6.096 g/cm3
Uncorrected formation energy   0.111 eV per atom
Energy   -4.614 eV per atom

a b c (Å): 4.8326 4.8326 4.8326
angles (deg): 60.00 60.00 60.00
With the nearest neighbours (Å) after each atom.
Element x y z (fractional)
Mo: 0.5000 0.5000 0.5000  8 Se 2.96
K: 0.0000 0.0000 0.0000  8 Se 2.96
Se: 0.2500 0.2500 0.2500  4 Mo 2.96, 4 K 2.96
Se: 0.7500 0.7500 0.7500  4 Mo 2.96, 4 K 2.96